Run one
RbGaB PBE-GGA relaxed; crystal system = orthorhombic; size of the total moment = 0.00 μB per atom
1.0
14.5004 0.0000 0.0000
0.0000 4.9951 0.0000
0.0000 0.0000 5.2855
Ga Rb B
4 4 4
direct
0.9106 0.5000 0.5000
0.4106 0.0000 0.0000
0.5894 0.0000 0.0000
0.0894 0.5000 0.5000
0.3540 0.5000 0.5000
0.6460 0.5000 0.5000
0.1461 0.0000 0.0000
0.8540 0.0000 0.0000
0.5000 0.3419 0.0000
0.5000 0.6580 0.0000
0.0000 0.8420 0.5000
0.0000 0.1580 0.5000

***

Run two
RbGaB PBE-GGA relaxed; crystal system = orthorhombic; size of the total moment = 0.00 μB per atom
1.0
-8.2156 8.5100 -1.7085
-1.4306 -2.3951 -5.0509
-3.3891 -2.8115 2.2931
B Rb Ga
4 4 4
direct
0.0000 0.5000 0.6584
0.5000 0.0000 0.6584
0.5000 0.0000 0.3416
0.0000 0.5000 0.3416
0.6548 0.5000 0.5000
0.3452 0.5000 0.5000
0.8452 0.0000 0.5000
0.1548 0.0000 0.5000
0.1093 0.5000 0.0000
0.6093 0.0000 0.0000
0.8907 0.5000 0.0000
0.3907 0.0000 0.0000

***

Which is the most stable structure? run one is the most stable.

***

Run one
RbGaB PBE-GGA relaxed; crystal system = monoclinic; size of the total moment = 0.00 μB per atom
1.0
3.2210 0.0000 -0.0016
0.0000 6.1036 0.0000
-3.2004 0.0000 17.6363
B Ga Rb
4 4 4
direct
0.2874 0.5000 0.7814
0.7619 0.5000 0.7555
0.2874 0.0000 0.2814
0.7619 0.0000 0.2555
0.8904 0.5000 0.8810
0.1599 0.0000 0.1549
0.1599 0.5000 0.6549
0.8904 0.0000 0.3810
0.5656 0.5000 0.0587
0.3393 0.0000 0.8184
0.3393 0.5000 0.3184
0.5656 0.0000 0.5587

***

Run two
RbGaB PBE-GGA relaxed; crystal system = monoclinic; size of the total moment = 0.00 μB per atom
1.0
-0.2435 -2.0180 -6.8747
13.6788 -0.2809 -0.4021
0.1933 -1.1458 7.3748
Ga Rb B
4 4 4
direct
0.3028 0.9049 0.8366
0.3028 0.4049 0.3366
0.8028 0.5951 0.8366
0.8028 0.0951 0.3366
0.4525 0.3430 0.9286
0.9525 0.1570 0.9286
0.4525 0.8430 0.4286
0.9525 0.6570 0.4286
0.2544 0.5038 0.0350
0.2544 0.0038 0.5350
0.7544 0.9962 0.0350
0.7544 0.4962 0.5350

***

Run three
RbGaB PBE-GGA relaxed; crystal system = triclinic; size of the total moment = 0.00 μB per atom
1.0
-2.1265 -2.3995 0.2639
1.0627 -0.0318 7.1465
-4.4171 5.6432 -2.9500
B Ga Rb
2 2 2
direct
0.9428 0.3952 0.6726
0.4420 0.3951 0.6709
0.2724 0.2169 0.8484
0.5937 0.0401 0.4960
0.0082 0.5415 0.3510
0.8411 0.8625 0.9930

***

Which is the most stable structure? run three is the most stable.

***

Run one
RbGa3B PBE-GGA relaxed; crystal system = cubic; size of the total moment = 0.00 μB per atom
1.0
4.7769 0.0000 0.0000
0.0000 4.7769 0.0000
0.0000 0.0000 4.7769
Ga B Rb
3 1 1
direct
0.0000 0.5000 0.0000
0.0000 0.0000 0.5000
0.5000 0.0000 0.0000
0.0000 0.0000 0.0000
0.5000 0.5000 0.5000

***

Run two
RbGa3B PBE-GGA relaxed; crystal system = cubic; size of the total moment = 0.32 μB per atom
1.0
6.0122 0.0000 0.0000
0.0000 6.0122 0.0000
0.0000 0.0000 6.0122
Ga Rb B
3 1 1
direct
0.0000 0.0000 0.5000
0.5000 0.0000 0.0000
0.0000 0.5000 0.0000
0.0000 0.0000 0.0000
0.5000 0.5000 0.5000

***

Which is the most stable structure? run one is the most stable.

***

Run one
Ga3ReB PBE-GGA relaxed; crystal system = cubic; size of the total moment = 0.28 μB per atom
1.0
-0.9024 -2.0723 -3.5738
3.6927 -2.0446 0.2532
-1.8521 -3.0669 2.2460
Ga Re B
3 1 1
direct
0.0000 0.0000 0.5000
0.5000 0.0000 0.0000
0.0000 0.5000 0.0000
0.5000 0.5000 0.5000
0.0000 0.0000 0.0000

***

Run two
Ga3ReB PBE-GGA relaxed; crystal system = cubic; size of the total moment = 0.00 μB per atom
1.0
4.8346 0.0000 0.0000
0.0000 4.8346 0.0000
0.0000 0.0000 4.8346
Re B Ga
1 1 3
direct
0.0000 0.0000 0.0000
0.5000 0.5000 0.5000
0.0000 0.5000 0.0000
0.0000 0.0000 0.5000
0.5000 0.0000 0.0000

***

Which is the most stable structure? run one is the most stable.